Entry 1:
Material: Sm3ZnCo3
Method: DFT, PBE
State: optimized geometry

Cell: 5.4285 5.4285 13.0837 Å, 90.00 90.00 134.30°
Atoms (fractional coordinates):
Sm  0.0049  0.9951  0.7500
Sm  0.2962  0.7038  0.6021
Sm  0.2962  0.7038  0.8979
Sm  0.7038  0.2962  0.1021
Sm  0.7038  0.2962  0.3979
Sm  0.9951  0.0049  0.2500
Zn  0.0000  0.0000  0.0000
Zn  0.0000  0.0000  0.5000
Co  0.2994  0.7006  0.2500
Co  0.4146  0.5854  0.0961
Co  0.4146  0.5854  0.4039
Co  0.5854  0.4146  0.5961
Co  0.5854  0.4146  0.9039
Co  0.7006  0.2994  0.7500

Properties
N(E_F) = 13.3 states/eV per cell
formation enthalpy at 0 K = -0.19 eV per atom
symmetry = Cmcm


Entry 2:
Material: SrRu2Cl
Method: DFT, PBE
State: optimized geometry

Cell: 4.0620 4.0620 5.2302 Å, 90.00 90.00 90.00°
Atoms (fractional coordinates):
Sr  0.0000  0.0000  0.0000
Ru  0.5000  0.5000  0.2703
Ru  0.5000  0.5000  0.7297
Cl  0.0000  0.0000  0.5000

Properties
energy above the most stable polymorph in this dataset = 3.89 eV per formula unit
raw formation energy = 334 kJ/mol of formula units
N(E_F) = 4.9 states/eV per cell
symmetry = P4/mmm


Entry 3:
Material: Ce4TlHg5
Method: DFT, PBE
State: optimized geometry

Cell: 3.9027 3.9027 18.2422 Å, 90.00 90.00 90.00°
Atoms (fractional coordinates):
Ce  0.0000  0.0000  0.1000
Ce  0.0000  0.0000  0.3035
Ce  0.0000  0.0000  0.6965
Ce  0.0000  0.0000  0.9000
Tl  0.0000  0.0000  0.5000
Hg  0.5000  0.5000  0.0000
Hg  0.5000  0.5000  0.2004
Hg  0.5000  0.5000  0.4002
Hg  0.5000  0.5000  0.5998
Hg  0.5000  0.5000  0.7996

Properties
energy above the most stable polymorph in this dataset = 0.48 eV per formula unit
N(E_F) = 34.8 states/eV per cell
formation enthalpy at 0 K = -0.25 eV per atom
symmetry = P4/mmm


Entry 4:
Material: PrSmRu
Method: DFT, PBE
State: optimized geometry

Cell: 4.9175 4.9175 4.9175 Å, 60.00 60.00 60.00°
Atoms (fractional coordinates):
Pr  0.0000  0.0000  0.0000
Sm  0.5000  0.5000  0.5000
Ru  0.2500  0.2500  0.2500

Properties
energy above the most stable polymorph in this dataset = 0.03 eV per formula unit
N(E_F) = 1.9 states/eV per cell
formation enthalpy at 0 K = -0.15 eV per atom
symmetry = F-43m